[1]
Here is a relaxed RbBa2Ag2 crystal from Alexandria. Energies are from PBE-GGA.

Unit cell a=7.876 b=7.876 c=7.876 alpha=137.07 beta=137.07 gamma=62.33
Fractional positions:
Rb1 0.000 0.000 0.000
Ba1 0.250 0.750 0.500
Ba2 0.750 0.250 0.500
Ag1 0.395 0.395 0.000
Ag2 0.605 0.605 0.000

Polymorph energy (0 for the lowest one): 98 meV/atom
Formation enthalpy at 0 K: -0.15 eV/f.u.

[2]
Here is a relaxed GaSbHI2 crystal from Alexandria. Energies are from PBE-GGA.

Unit cell a=5.804 b=5.804 c=3.959 alpha=90.00 beta=90.00 gamma=90.00
Fractional positions:
Ga1 0.000 0.000 0.000
Sb1 0.500 0.500 0.000
H1 0.500 0.500 0.500
I1 0.000 0.500 0.500
I2 0.500 0.000 0.500

Polymorph energy (0 for the lowest one): 0 meV/atom